#A
DFT (PBE) results for crystalline Ce4GaRu at its relaxed geometry.

Structure (extended XYZ):
```
12
Lattice="5.276 0.000 0.000 0.000 6.611 0.000 -1.214 0.000 8.263" Properties=species:S:1:pos:R:3 pbc="T T T"
Ce 0.906 1.653 0.400
Ce 0.678 4.958 3.162
Ce 0.687 3.571 6.119
Ce 0.687 6.346 6.119
Ce 3.374 0.265 2.145
Ce 3.374 3.041 2.145
Ce 3.383 1.653 5.101
Ce 3.155 4.958 7.863
Ga 0.747 1.653 3.496
Ga 3.314 4.958 4.767
Ru 1.348 4.958 0.729
Ru 2.713 1.653 7.534
```

Calculated values
- symmetry = P2_1/m



#B
DFT (PBE) results for crystalline Ce4GaRu at its relaxed geometry.

Structure (extended XYZ):
```
12
Lattice="4.200 -6.239 0.000 4.200 6.239 0.000 -2.403 0.000 5.434" Properties=species:S:1:pos:R:3 pbc="T T T"
Ce 0.908 3.799 4.965
Ce 0.777 1.184 3.685
Ce 3.887 3.799 3.187
Ce 1.978 -1.184 0.968
Ce 4.019 1.184 4.467
Ce 2.110 -3.799 2.248
Ce 5.220 -1.184 1.750
Ce 5.089 -3.799 0.470
Ga 3.599 1.369 1.359
Ga 2.398 -1.369 4.076
Ru 2.398 6.222 4.076
Ru 3.599 -6.222 1.359
```

Calculated values
- symmetry = C2/c



Most stable: #B. Least stable: #A.



#A
DFT (PBE) results for crystalline Ce3GaRu3 at its relaxed geometry.

Structure (extended XYZ):
```
14
Lattice="4.228 2.441 5.033 -4.228 2.441 5.033 0.000 -4.882 5.033" Properties=species:S:1:pos:R:3 pbc="T T T"
Ce -2.862 0.520 6.638
Ce -1.881 -2.219 8.462
Ce 0.981 -2.739 6.638
Ce -0.981 2.739 8.462
Ce 1.881 2.219 6.638
Ce 2.862 -0.520 8.462
Ga 0.000 0.000 4.912
Ga 0.000 0.000 10.188
Ru -1.700 -2.148 6.065
Ru -2.711 0.398 9.035
Ru -1.010 2.547 6.065
Ru 1.010 -2.547 9.035
Ru 2.711 -0.398 6.065
Ru 1.700 2.148 9.035
```

Calculated values
- symmetry = R-3



#B
DFT (PBE) results for crystalline Ce3GaRu3 at its relaxed geometry.

Structure (extended XYZ):
```
14
Lattice="2.204 -4.725 0.000 2.204 4.725 0.000 0.000 0.000 13.997" Properties=species:S:1:pos:R:3 pbc="T T T"
Ce 2.204 4.638 10.498
Ce 2.204 1.847 8.464
Ce 2.204 1.847 12.531
Ce 2.204 -1.847 1.466
Ce 2.204 -1.847 5.533
Ce 2.204 -4.638 3.499
Ga 0.000 0.000 0.000
Ga 0.000 0.000 6.998
Ru 2.204 2.489 3.499
Ru 2.204 0.677 1.268
Ru 2.204 0.677 5.730
Ru 2.204 -0.677 8.267
Ru 2.204 -0.677 12.729
Ru 2.204 -2.489 10.498
```

Calculated values
- symmetry = Cmcm



Most stable: #B. Least stable: #A.



#A
DFT (PBE) results for crystalline Ce6GaRu2 at its relaxed geometry.

Structure (extended XYZ):
```
9
Lattice="5.108 -2.409 0.000 5.108 2.409 0.000 -0.817 0.000 8.621" Properties=species:S:1:pos:R:3 pbc="T T T"
Ce 0.274 0.000 3.075
Ce 2.341 0.000 7.790
Ce 3.757 0.000 2.790
Ce 5.642 0.000 5.831
Ce 7.058 0.000 0.830
Ce 9.125 0.000 5.546
Ga 0.000 0.000 0.000
Ru 2.238 0.000 5.357
Ru 7.161 0.000 3.263
```

Calculated values
- symmetry = C2/m



#B
DFT (PBE) results for crystalline Ce6GaRu2 at its relaxed geometry.

Structure (extended XYZ):
```
18
Lattice="7.851 -4.654 0.000 7.851 4.654 0.000 -1.842 0.000 5.970" Properties=species:S:1:pos:R:3 pbc="T T T"
Ce 5.145 3.825 4.843
Ce 4.191 2.593 1.618
Ce 7.793 3.825 4.113
Ce 5.551 0.336 3.333
Ce 10.590 2.593 1.367
Ce 6.472 -0.336 0.348
Ce 7.387 0.336 5.623
Ce 3.269 -2.593 4.603
Ce 8.308 -0.336 2.638
Ce 6.066 -3.825 1.857
Ce 9.669 -2.593 4.352
Ce 8.714 -3.825 1.128
Ga 7.390 2.387 1.493
Ga 6.469 -2.387 4.478
Ru 3.742 0.032 0.541
Ru 2.820 -0.032 3.526
Ru 11.039 0.032 2.444
Ru 10.118 -0.032 5.429
```

Calculated values
- symmetry = C2/c



Most stable: #A. Least stable: #B.



#A
DFT (PBE) results for crystalline Ce3Ga2Ru3 at its relaxed geometry.

Structure (extended XYZ):
```
16
Lattice="2.222 -5.410 0.000 2.222 5.410 0.000 0.000 0.000 13.210" Properties=species:S:1:pos:R:3 pbc="T T T"
Ce 2.222 4.625 8.093
Ce 2.222 4.625 11.722
Ce 2.222 1.740 9.907
Ce 2.222 -1.740 3.302
Ce 2.222 -4.625 1.488
Ce 2.222 -4.625 5.117
Ga 2.222 2.909 1.111
Ga 2.222 2.909 5.494
Ga 2.222 -2.909 7.716
Ga 2.222 -2.909 12.099
Ru 2.222 1.183 3.302
Ru 2.222 1.097 7.508
Ru 2.222 1.097 12.306
Ru 2.222 -1.097 0.903
Ru 2.222 -1.097 5.701
Ru 2.222 -1.183 9.907
```

Calculated values
- symmetry = Cmcm



#B
DFT (PBE) results for crystalline Ce3Ga2Ru3 at its relaxed geometry.

Structure (extended XYZ):
```
32
Lattice="7.195 0.000 0.000 0.000 15.832 0.000 0.000 0.000 5.700" Properties=species:S:1:pos:R:3 pbc="T T T"
Ce 0.245 1.476 0.836
Ce 0.245 6.440 0.836
Ce 1.509 3.958 3.070
Ce 2.089 11.874 0.220
Ce 3.353 9.393 3.686
Ce 3.353 14.356 3.686
Ce 3.843 1.476 2.014
Ce 3.843 6.440 2.014
Ce 5.106 3.958 5.480
Ce 5.686 11.874 2.630
Ce 6.950 9.393 4.864
Ce 6.950 14.356 4.864
Ga 0.760 9.733 2.038
Ga 0.760 14.015 2.038
Ga 2.837 1.817 4.888
Ga 2.837 6.099 4.888
Ga 4.358 9.733 0.812
Ga 4.358 14.015 0.812
Ga 6.435 1.817 3.662
Ga 6.435 6.099 3.662
Ru 1.340 11.874 3.700
Ru 1.430 0.428 3.266
Ru 1.430 7.488 3.266
Ru 2.168 8.344 0.416
Ru 2.168 15.404 0.416
Ru 2.258 3.958 0.850
Ru 4.937 11.874 4.849
Ru 5.028 0.428 5.284
Ru 5.028 7.488 5.284
Ru 5.765 8.344 2.434
Ru 5.765 15.404 2.434
Ru 5.856 3.958 2.000
```

Calculated values
- symmetry = Pnma



Most stable: #A. Least stable: #B.



#A
DFT (PBE) results for crystalline CeSmGaRu at its relaxed geometry.

Structure (extended XYZ):
```
4
Lattice="0.000 3.555 3.555 3.555 0.000 3.555 3.555 3.555 0.000" Properties=species:S:1:pos:R:3 pbc="T T T"
Ce 0.000 0.000 0.000
Sm 3.555 3.555 3.555
Ga 1.777 1.777 1.777
Ru 5.332 5.332 5.332
```

Calculated values
- symmetry = F-43m



#B
DFT (PBE) results for crystalline CeSmGaRu at its relaxed geometry.

Structure (extended XYZ):
```
4
Lattice="3.774 0.000 0.000 0.000 2.085 5.915 0.000 -2.085 5.915" Properties=species:S:1:pos:R:3 pbc="T T T"
Ce 0.000 0.000 0.000
Sm 1.887 0.000 8.533
Ga 0.000 0.000 3.629
Ru 1.887 0.000 5.478
```

Calculated values
- symmetry = Amm2



Most stable: #B. Least stable: #A.



#A
DFT (PBE) results for crystalline Ce2GaS at its relaxed geometry.

Structure (extended XYZ):
```
4
Lattice="2.013 1.162 7.265 -2.013 1.162 7.265 0.000 -2.325 7.265" Properties=species:S:1:pos:R:3 pbc="T T T"
Ce 0.000 0.000 5.278
Ce 0.000 0.000 16.517
Ga 0.000 0.000 0.000
S 0.000 0.000 10.897
```

Calculated values
- symmetry = R-3m



#B
DFT (PBE) results for crystalline Ce2GaS at its relaxed geometry.

Structure (extended XYZ):
```
8
Lattice="2.091 -11.484 0.000 2.091 11.484 0.000 0.000 0.000 4.074" Properties=species:S:1:pos:R:3 pbc="T T T"
Ce 2.091 9.880 3.056
Ce 2.091 4.294 3.056
Ce 2.091 -4.294 1.019
Ce 2.091 -9.880 1.019
Ga 2.091 0.846 3.056
Ga 2.091 -0.846 1.019
S 2.091 7.097 3.056
S 2.091 -7.097 1.019
```

Calculated values
- symmetry = Cmcm



Most stable: #B. Least stable: #A.